[1]
{
  "formula": "Li5Co5Ni2O12",
  "functional": "PBE+U",
  "state": "optimized geometry",
  "lattice": [[2.5138, -4.3752, 0.0000], [2.5138, 4.3752, 0.0000], [-1.7549, 0.0000, 9.5483]],
  "species": ["Li", "Li", "Li", "Li", "Li", "Co", "Co", "Co", "Co", "Co", "Ni", "Ni", "O", "O", "O", "O", "O", "O", "O", "O", "O", "O", "O", "O"],
  "frac_coords": [[0.0000, 0.0000, 0.0000], [0.2506, 0.2385, 0.7574], [0.4158, 0.0779, 0.2430], [0.7615, 0.7494, 0.2426], [0.9221, 0.5842, 0.7570], [0.0851, 0.4079, 0.2448], [0.1712, 0.8288, 0.5000], [0.5044, 0.4956, 0.5000], [0.5921, 0.9149, 0.7552], [0.6664, 0.3336, 0.0000], [0.3347, 0.6653, 0.0000], [0.8376, 0.1624, 0.5000], [0.0399, 0.6802, 0.1103], [0.1483, 0.1243, 0.3846], [0.2226, 0.5610, 0.6165], [0.3198, 0.9601, 0.8897], [0.3892, 0.3987, 0.1146], [0.4390, 0.7774, 0.3835], [0.5275, 0.1830, 0.6171], [0.6013, 0.6108, 0.8854], [0.7102, 0.0683, 0.1202], [0.8170, 0.4725, 0.3829], [0.8757, 0.8517, 0.6154], [0.9317, 0.2898, 0.8798]],
  "e_tot_ev_per_atom": -5.437
}

***

[2]
{
  "formula": "Li2CoNi3O8",
  "functional": "PBE+U",
  "state": "optimized geometry",
  "lattice": [[5.6388, 0.0000, 0.0000], [-2.7254, 4.9984, 0.0000], [-2.7782, -1.6987, 4.8681]],
  "species": ["Li", "Li", "Co", "Ni", "Ni", "Ni", "O", "O", "O", "O", "O", "O", "O", "O"],
  "frac_coords": [[0.0000, 0.0000, 0.0000], [0.0000, 0.5000, 0.0000], [0.5000, 0.0000, 0.5000], [0.0000, 0.0000, 0.5000], [0.0000, 0.5000, 0.5000], [0.5000, 0.5000, 0.5000], [0.0444, 0.2724, 0.2996], [0.0460, 0.7919, 0.2867], [0.4691, 0.7385, 0.6982], [0.4955, 0.7425, 0.2887], [0.5045, 0.2575, 0.7113], [0.5309, 0.2615, 0.3018], [0.9540, 0.2081, 0.7133], [0.9556, 0.7276, 0.7004]],
  "polymorph_energy_mev_per_atom": 34
}

***

[3]
{
  "formula": "Li2CoNi3O8",
  "functional": "PBE+U",
  "state": "optimized geometry",
  "lattice": [[8.0263, 0.0000, 0.0000], [0.0000, 8.0263, 0.0000], [0.0000, 0.0000, 8.1742]],
  "species": ["Li", "Li", "Li", "Li", "Li", "Li", "Li", "Li", "Co", "Co", "Co", "Co", "Ni", "Ni", "Ni", "Ni", "Ni", "Ni", "Ni", "Ni", "Ni", "Ni", "Ni", "Ni", "O", "O", "O", "O", "O", "O", "O", "O", "O", "O", "O", "O", "O", "O", "O", "O", "O", "O", "O", "O", "O", "O", "O", "O", "O", "O", "O", "O", "O", "O", "O", "O"],
  "frac_coords": [[0.0024, 0.2461, 0.3735], [0.2461, 0.0024, 0.6265], [0.2539, 0.5024, 0.1235], [0.4976, 0.7461, 0.3765], [0.5024, 0.2539, 0.8765], [0.7461, 0.4976, 0.6235], [0.7539, 0.9976, 0.1265], [0.9976, 0.7539, 0.8735], [0.1274, 0.1274, 0.0000], [0.3726, 0.6274, 0.7500], [0.6274, 0.3726, 0.2500], [0.8726, 0.8726, 0.5000], [0.1219, 0.6240, 0.5056], [0.1240, 0.3781, 0.7556], [0.1266, 0.8734, 0.2500], [0.3734, 0.3734, 0.5000], [0.3760, 0.8781, 0.9944], [0.3781, 0.1240, 0.2444], [0.6219, 0.8760, 0.7444], [0.6240, 0.1219, 0.4944], [0.6266, 0.6266, 0.0000], [0.8734, 0.1266, 0.7500], [0.8760, 0.6219, 0.2556], [0.8781, 0.3760, 0.0056], [0.1078, 0.8555, 0.5012], [0.1113, 0.3669, 0.9865], [0.1125, 0.1444, 0.7686], [0.1128, 0.6341, 0.2737], [0.1331, 0.6113, 0.7365], [0.1341, 0.3872, 0.5237], [0.1444, 0.1125, 0.2314], [0.1445, 0.8922, 0.9988], [0.3555, 0.3922, 0.7512], [0.3556, 0.6125, 0.5186], [0.3659, 0.8872, 0.2263], [0.3669, 0.1113, 0.0135], [0.3872, 0.1341, 0.4763], [0.3875, 0.6444, 0.9814], [0.3887, 0.8669, 0.7635], [0.3922, 0.3555, 0.2488], [0.6078, 0.6445, 0.7488], [0.6113, 0.1331, 0.2635], [0.6125, 0.3556, 0.4814], [0.6128, 0.8659, 0.9763], [0.6331, 0.8887, 0.5135], [0.6341, 0.1128, 0.7263], [0.6444, 0.3875, 0.0186], [0.6445, 0.6078, 0.2512], [0.8555, 0.1078, 0.4988], [0.8556, 0.8875, 0.7314], [0.8659, 0.6128, 0.0237], [0.8669, 0.3887, 0.2365], [0.8872, 0.3659, 0.7737], [0.8875, 0.8556, 0.2686], [0.8887, 0.6331, 0.4865], [0.8922, 0.1445, 0.0012]],
  "polymorph_energy_mev_per_atom": 0
}

***

[4]
{
  "formula": "Li10CoNi9O20",
  "functional": "PBE+U",
  "state": "optimized geometry",
  "lattice": [[5.7546, 0.0000, 0.0000], [0.0000, 2.8111, 0.0000], [-2.8483, 0.0000, 21.2864]],
  "species": ["Li", "Li", "Li", "Li", "Li", "Li", "Li", "Li", "Li", "Li", "Co", "Ni", "Ni", "Ni", "Ni", "Ni", "Ni", "Ni", "Ni", "Ni", "O", "O", "O", "O", "O", "O", "O", "O", "O", "O", "O", "O", "O", "O", "O", "O", "O", "O", "O", "O"],
  "frac_coords": [[0.0000, 0.0000, 0.0000], [0.0981, 0.5000, 0.7004], [0.2069, 0.0000, 0.4027], [0.3023, 0.5000, 0.1008], [0.3974, 0.0000, 0.7986], [0.5000, 0.5000, 0.5000], [0.6026, 0.0000, 0.2014], [0.6977, 0.5000, 0.8992], [0.7931, 0.0000, 0.5973], [0.9019, 0.5000, 0.2996], [0.0000, 0.5000, 0.5000], [0.1032, 0.0000, 0.2012], [0.1982, 0.5000, 0.8995], [0.2986, 0.0000, 0.5965], [0.4043, 0.5000, 0.3021], [0.5000, 0.0000, 0.0000], [0.5957, 0.5000, 0.6979], [0.7014, 0.0000, 0.4035], [0.8018, 0.5000, 0.1005], [0.8968, 0.0000, 0.7988], [0.0266, 0.0000, 0.1004], [0.0677, 0.5000, 0.5909], [0.1220, 0.5000, 0.7989], [0.1760, 0.0000, 0.3020], [0.2263, 0.0000, 0.4988], [0.2753, 0.5000, 0.0002], [0.3281, 0.5000, 0.2011], [0.3669, 0.0000, 0.6978], [0.4230, 0.0000, 0.8993], [0.4748, 0.5000, 0.4009], [0.5252, 0.5000, 0.5991], [0.5770, 0.0000, 0.1007], [0.6331, 0.0000, 0.3022], [0.6719, 0.5000, 0.7989], [0.7247, 0.5000, 0.9998], [0.7737, 0.0000, 0.5012], [0.8240, 0.0000, 0.6980], [0.8780, 0.5000, 0.2011], [0.9323, 0.5000, 0.4091], [0.9734, 0.0000, 0.8996]],
  "polymorph_energy_mev_per_atom": 0
}

***

[5]
{
  "formula": "Li4CoNi3O8",
  "functional": "PBE+U",
  "state": "optimized geometry",
  "lattice": [[4.9997, -2.9144, 0.0000], [4.9997, 2.9144, 0.0000], [-3.4051, 0.0000, 4.7595]],
  "species": ["Li", "Li", "Li", "Li", "Co", "Ni", "Ni", "Ni", "O", "O", "O", "O", "O", "O", "O", "O"],
  "frac_coords": [[0.0000, 0.0000, 0.0000], [0.0000, 0.5000, 0.5000], [0.5000, 0.0000, 0.5000], [0.5000, 0.5000, 0.0000], [0.0000, 0.0000, 0.5000], [0.0000, 0.5000, 0.0000], [0.5000, 0.0000, 0.0000], [0.5000, 0.5000, 0.5000], [0.2214, 0.7560, 0.2589], [0.2362, 0.2362, 0.7271], [0.2440, 0.7786, 0.7411], [0.2511, 0.2511, 0.2122], [0.7489, 0.7489, 0.7878], [0.7560, 0.2214, 0.2589], [0.7638, 0.7638, 0.2729], [0.7786, 0.2440, 0.7411]],
  "e_tot_ev_per_atom": -5.074
}

***

[6]
{
  "formula": "Li3Co2NiO6",
  "functional": "PBE+U",
  "state": "optimized geometry",
  "lattice": [[5.7733, 0.0000, 0.0000], [0.0000, 2.8539, 0.0000], [-3.0441, 0.0000, 12.2127]],
  "species": ["Li", "Li", "Li", "Li", "Li", "Li", "Co", "Co", "Co", "Co", "Ni", "Ni", "O", "O", "O", "O", "O", "O", "O", "O", "O", "O", "O", "O"],
  "frac_coords": [[0.0000, 0.0000, 0.0000], [0.0000, 0.5000, 0.5000], [0.3348, 0.0082, 0.6678], [0.3348, 0.4918, 0.1678], [0.6652, 0.5082, 0.8322], [0.6652, 0.9918, 0.3322], [0.1659, 0.5139, 0.8326], [0.1659, 0.9861, 0.3326], [0.8341, 0.0139, 0.6674], [0.8341, 0.4861, 0.1674], [0.5000, 0.0000, 0.0000], [0.5000, 0.5000, 0.5000], [0.0647, 0.5129, 0.6744], [0.0647, 0.9871, 0.1744], [0.2598, 0.5336, 0.9909], [0.2598, 0.9664, 0.4909], [0.3946, 0.0192, 0.8363], [0.3946, 0.4808, 0.3363], [0.6054, 0.5192, 0.6637], [0.6054, 0.9808, 0.1637], [0.7402, 0.0336, 0.5091], [0.7402, 0.4664, 0.0091], [0.9353, 0.0129, 0.8256], [0.9353, 0.4871, 0.3256]],
  "polymorph_energy_mev_per_atom": 0
}

***

Spin magnetization (computed, μB/atom): 0.50, 0.21, 0.07, 0.22, 0.31, 0.08